No. 1
Sr2Li3Pt2 (PBE, optimized geometry); magnetic moment = 0.00 μB per cell; formation energy from the elements = -0.533 eV per atom; DFT total energy = -24.9 eV/cell; V = 22.75 Å³ per atom; DOS at the Fermi energy = 3.34 states/eV per cell
1.0
-2.0092 3.7018 -0.8967
-2.0708 -2.4365 4.9217
6.5159 3.7447 0.8596
Sr Li Pt
2 3 2
direct
0.8606 0.7213 0.2224
0.1394 0.2787 0.7776
0.5000 0.0000 0.0000
0.6608 0.3217 0.4276
0.3392 0.6783 0.5724
0.8623 0.7245 0.8080
0.1377 0.2755 0.1920


No. 2
Sr3LiPt (PBE, optimized geometry); magnetic moment = 0.00 μB per cell; formation energy from the elements = -0.419 eV per atom; distance to the lowest polymorph of the same formula = 0 meV/atom; DFT total energy = -30.2 eV/cell; V = 38.09 Å³ per atom; DOS at the Fermi energy = 5.22 states/eV per cell
1.0
-5.9333 -0.0944 0.6144
3.5326 -4.3592 4.4817
0.5657 7.2142 6.5712
Sr Li Pt
6 2 2
direct
0.6350 0.2700 0.9483
0.3650 0.7300 0.0517
0.6350 0.2700 0.5517
0.3650 0.7300 0.4483
0.0542 0.1084 0.2500
0.9458 0.8916 0.7500
0.7529 0.5057 0.2500
0.2471 0.4943 0.7500
0.5518 0.1037 0.2500
0.4482 0.8963 0.7500


No. 3
SrLiPt (PBE, optimized geometry); magnetic moment = 0.00 μB per cell; formation energy from the elements = -0.611 eV per atom; distance to the lowest polymorph of the same formula = 23 meV/atom; DFT total energy = -45.9 eV/cell; V = 23.29 Å³ per atom; DOS at the Fermi energy = 3.66 states/eV per cell
1.0
5.9013 0.0000 0.0000
0.0000 6.2988 -0.1247
0.0000 -2.9841 7.5763
Sr Pt Li
4 4 4
direct
0.8817 0.8150 0.1293
0.6183 0.8150 0.6293
0.1183 0.1850 0.8707
0.3817 0.1850 0.3707
0.3739 0.8033 0.9686
0.6261 0.1967 0.0314
0.8739 0.1967 0.5314
0.1261 0.8033 0.4686
0.3933 0.5864 0.1878
0.6067 0.4136 0.8122
0.1067 0.5864 0.6878
0.8933 0.4136 0.3122


No. 4
SrLiPt2 (PBE, optimized geometry); magnetic moment = 0.00 μB per cell; formation energy from the elements = -0.410 eV per atom; distance to the lowest polymorph of the same formula = 177 meV/atom; DFT total energy = -17.3 eV/cell; V = 19.53 Å³ per atom; DOS at the Fermi energy = 1.04 states/eV per cell
1.0
-0.0131 0.1496 5.0298
-1.0380 -4.7059 -1.4486
3.1719 -0.7105 0.0307
Li Pt Sr
1 2 1
direct
0.0000 0.5000 0.5000
0.0000 0.0000 0.0000
0.5000 0.5000 0.0000
0.5000 0.0000 0.5000


No. 5
SrLiPt2 (PBE, optimized geometry); magnetic moment = 0.00 μB per cell; formation energy from the elements = -0.125 eV per atom; distance to the lowest polymorph of the same formula = 463 meV/atom; DFT total energy = -16.2 eV/cell; V = 18.30 Å³ per atom; DOS at the Fermi energy = 0.84 states/eV per cell
1.0
9.2556 0.1947 0.1151
8.6901 3.1915 0.1151
8.6901 1.6398 2.7405
Li Pt Sr
1 2 1
direct
0.7500 0.7500 0.7500
0.0092 0.0092 0.0092
0.4908 0.4908 0.4908
0.2500 0.2500 0.2500


No. 6
Sr3LiPt (PBE, optimized geometry); magnetic moment = 0.00 μB per cell; formation energy from the elements = -0.371 eV per atom; distance to the lowest polymorph of the same formula = 48 meV/atom; DFT total energy = -29.7 eV/cell; V = 40.58 Å³ per atom; DOS at the Fermi energy = 5.87 states/eV per cell
1.0
-4.3084 -0.2354 -0.8255
-1.1822 -5.9242 7.8597
-1.8460 5.4316 8.0857
Sr Li Pt
6 2 2
direct
0.8634 0.3669 0.8138
0.8634 0.0214 0.6790
0.8630 0.6268 0.0737
0.3632 0.0037 0.0559
0.8630 0.7616 0.4191
0.3632 0.3847 0.4370
0.3634 0.6941 0.7465
0.8633 0.1940 0.2466
0.3630 0.6942 0.2464
0.3634 0.1942 0.7464


No. 7
Sr2Li6Pt3 (PBE, optimized geometry); magnetic moment = 0.00 μB per cell; formation energy from the elements = -0.440 eV per atom; DFT total energy = -37.8 eV/cell; V = 20.60 Å³ per atom; DOS at the Fermi energy = 3.84 states/eV per cell
1.0
4.2090 0.0000 0.0000
0.0000 7.8846 0.0000
0.0000 -3.9423 6.8283
Sr Li Pt
2 6 3
direct
0.0000 0.6667 0.3333
0.0000 0.3333 0.6667
0.5000 0.7248 0.7248
0.5000 0.0000 0.2752
0.0000 0.2087 0.2087
0.0000 0.7913 0.0000
0.5000 0.2752 0.0000
0.0000 0.0000 0.7913
0.5000 0.3829 0.3829
0.5000 0.6171 0.0000
0.5000 0.0000 0.6171


No. 8
SrLi2Pt (PBE, optimized geometry); magnetic moment = 0.00 μB per cell; formation energy from the elements = -0.291 eV per atom; distance to the lowest polymorph of the same formula = 186 meV/atom; DFT total energy = -25.4 eV/cell; V = 23.28 Å³ per atom; DOS at the Fermi energy = 2.47 states/eV per cell
1.0
4.4070 0.0000 0.0000
0.0000 4.4070 0.0000
2.2035 2.2035 9.5879
Sr Pt Li
2 2 4
direct
0.5000 0.5000 0.0000
0.2500 0.7500 0.5000
0.0000 0.0000 0.0000
0.7500 0.2500 0.5000
0.7438 0.1250 0.2500
0.0062 0.6250 0.2500
0.3750 0.2562 0.7500
0.8750 0.9938 0.7500


No. 9
Sr3LiPt (PBE, optimized geometry); magnetic moment = 0.00 μB per cell; formation energy from the elements = -0.389 eV per atom; distance to the lowest polymorph of the same formula = 30 meV/atom; DFT total energy = -14.9 eV/cell; V = 42.11 Å³ per atom; DOS at the Fermi energy = 2.41 states/eV per cell
1.0
-0.6250 5.9161 0.0408
-1.0803 -0.0737 -5.8498
-5.8168 -0.6220 1.0820
Sr Pt Li
3 1 1
direct
0.0000 0.5000 0.0000
0.0000 0.0000 0.5000
0.5000 0.0000 0.0000
0.0000 0.0000 0.0000
0.5000 0.5000 0.5000


No. 10
SrLi2Pt (PBE, optimized geometry); magnetic moment = 0.00 μB per cell; formation energy from the elements = -0.408 eV per atom; distance to the lowest polymorph of the same formula = 69 meV/atom; DFT total energy = -13.2 eV/cell; V = 21.84 Å³ per atom; DOS at the Fermi energy = 1.18 states/eV per cell
1.0
-1.6464 2.9329 3.2646
1.3099 0.4210 4.4808
3.4208 4.1045 0.1621
Sr Pt Li
1 1 2
direct
0.2500 0.2500 0.2500
0.7500 0.7500 0.7500
0.0468 0.0468 0.8574
0.4532 0.4532 0.6426


No. 11
Sr2LiPt2 (PBE, optimized geometry); magnetic moment = 0.00 μB per cell; formation energy from the elements = -0.746 eV per atom; distance to the lowest polymorph of the same formula = 0 meV/atom; DFT total energy = -21.1 eV/cell; V = 23.91 Å³ per atom; DOS at the Fermi energy = 1.24 states/eV per cell
1.0
-2.8682 -1.7833 -2.8347
-2.9004 -4.5658 2.3776
-5.5821 0.6017 1.8402
Sr Li Pt
2 1 2
direct
0.6953 0.8047 0.3046
0.3047 0.1953 0.6954
0.5000 0.5000 0.0000
0.0000 0.2461 0.2540
0.0000 0.7539 0.7460


No. 12
Sr2Li5Pt4 (PBE, optimized geometry); magnetic moment = 0.00 μB per cell; formation energy from the elements = -0.475 eV per atom; DFT total energy = -42.3 eV/cell; V = 21.06 Å³ per atom; DOS at the Fermi energy = 4.53 states/eV per cell
1.0
5.4178 0.0000 0.0000
2.7089 6.8690 -0.1916
2.7089 1.5957 6.1813
Sr Li Pt
2 5 4
direct
0.2778 0.7852 0.6592
0.7222 0.2148 0.3408
0.2081 0.2394 0.8615
0.7919 0.7606 0.1385
0.0000 0.5000 0.5000
0.6910 0.2394 0.8615
0.3090 0.7606 0.1385
0.3701 0.0594 0.2004
0.6299 0.9406 0.7996
0.7816 0.5340 0.9027
0.2184 0.4660 0.0973


No. 13
SrLiPt (PBE, optimized geometry); magnetic moment = 0.00 μB per cell; formation energy from the elements = -0.420 eV per atom; distance to the lowest polymorph of the same formula = 213 meV/atom; DFT total energy = -10.9 eV/cell; V = 22.75 Å³ per atom; DOS at the Fermi energy = 2.50 states/eV per cell
1.0
5.7452 0.0020 -0.0023
4.5864 3.4587 -0.0096
1.1588 0.3930 3.4342
Li Pt Sr
1 1 1
direct
0.9550 0.9550 0.0450
0.3638 0.3638 0.6362
0.6812 0.6812 0.3188


No. 14
SrLiPt3 (PBE, optimized geometry); magnetic moment = 0.00 μB per cell; formation energy from the elements = 1.160 eV per atom; distance to the lowest polymorph of the same formula = 1378 meV/atom; DFT total energy = -15.9 eV/cell; V = 30.38 Å³ per atom; DOS at the Fermi energy = 3.98 states/eV per cell
1.0
5.3357 0.0000 0.0000
0.0000 5.3357 0.0000
0.0000 0.0000 5.3357
Sr Pt Li
1 3 1
direct
0.0000 0.0000 0.0000
0.0000 0.5000 0.0000
0.0000 0.0000 0.5000
0.5000 0.0000 0.0000
0.5000 0.5000 0.5000


No. 15
SrLi3Pt2 (PBE, optimized geometry); magnetic moment = 0.00 μB per cell; formation energy from the elements = -0.538 eV per atom; distance to the lowest polymorph of the same formula = 19 meV/atom; DFT total energy = -45.5 eV/cell; V = 19.25 Å³ per atom; DOS at the Fermi energy = 4.03 states/eV per cell
1.0
4.2287 0.0000 0.0000
-2.1143 7.6595 0.0366
0.0000 -3.4241 7.1144
Sr Li Pt
2 6 4
direct
0.8548 0.7096 0.9461
0.1452 0.2904 0.0539
0.3099 0.6198 0.5307
0.9534 0.9068 0.6226
0.5911 0.1821 0.6656
0.4089 0.8179 0.3345
0.0466 0.0932 0.3774
0.6901 0.3802 0.4693
0.4745 0.9490 0.8181
0.5255 0.0510 0.1819
0.8054 0.6108 0.3033
0.1946 0.3892 0.6967


No. 16
SrLi2Pt (PBE, optimized geometry); magnetic moment = 0.00 μB per cell; formation energy from the elements = -0.332 eV per atom; distance to the lowest polymorph of the same formula = 145 meV/atom; DFT total energy = -12.9 eV/cell; V = 23.72 Å³ per atom; DOS at the Fermi energy = 1.26 states/eV per cell
1.0
-2.7215 -3.0990 -2.5488
2.3496 0.8966 -3.5989
3.0735 -3.2064 0.6168
Li Pt Sr
2 1 1
direct
0.0000 0.0719 0.0717
0.0000 0.4281 0.4283
0.5000 0.2500 0.2500
0.5000 0.7500 0.7500


No. 17
Sr3LiPt2 (PBE, optimized geometry); magnetic moment = 0.00 μB per cell; formation energy from the elements = -0.604 eV per atom; DFT total energy = -90.7 eV/cell; V = 28.58 Å³ per atom; DOS at the Fermi energy = 11.18 states/eV per cell
1.0
7.0754 0.0000 -3.2048
0.0000 9.9653 0.0000
-0.8820 0.0000 10.1265
Sr Li Pt
12 4 8
direct
0.2898 0.9527 0.0699
0.2102 0.4527 0.4301
0.7102 0.0473 0.9301
0.7898 0.5473 0.5699
0.2898 0.5473 0.0699
0.2102 0.0473 0.4301
0.7102 0.4527 0.9301
0.7898 0.9527 0.5699
0.9399 0.7500 0.1870
0.5601 0.2500 0.3130
0.0601 0.2500 0.8130
0.4399 0.7500 0.6870
0.6413 0.7500 0.2857
0.8587 0.2500 0.2143
0.3587 0.2500 0.7143
0.1413 0.7500 0.7857
0.7500 0.0000 0.2500
0.7500 0.5000 0.2500
0.2500 0.0000 0.7500
0.2500 0.5000 0.7500
0.3884 0.7500 0.3707
0.1116 0.2500 0.1293
0.6116 0.2500 0.6293
0.8884 0.7500 0.8707


No. 18
SrLiPt2 (PBE, optimized geometry); magnetic moment = 0.00 μB per cell; formation energy from the elements = -0.468 eV per atom; distance to the lowest polymorph of the same formula = 119 meV/atom; DFT total energy = -17.5 eV/cell; V = 19.24 Å³ per atom; DOS at the Fermi energy = 1.48 states/eV per cell
1.0
-2.0886 -2.7699 3.8464
0.1022 -5.0043 -1.3330
3.7257 3.5985 0.0102
Li Pt Sr
1 2 1
direct
0.7500 0.2500 0.5000
0.0003 0.0003 0.0000
0.4997 0.4997 0.0000
0.2500 0.7500 0.5000


No. 19
SrLiPt2 (PBE, optimized geometry); magnetic moment = 0.00 μB per cell; formation energy from the elements = -0.245 eV per atom; distance to the lowest polymorph of the same formula = 342 meV/atom; DFT total energy = -16.7 eV/cell; V = 20.26 Å³ per atom; DOS at the Fermi energy = 2.57 states/eV per cell
1.0
-1.7767 1.6765 2.6254
-3.1078 -0.7482 -1.6255
-0.3728 -5.4129 3.2042
Li Pt Sr
1 2 1
direct
0.5000 0.5000 0.8277
0.0000 0.0000 0.9845
0.5000 0.5000 0.2094
0.0000 0.0000 0.4784


No. 20
SrLi2Pt2 (PBE, optimized geometry); magnetic moment = 0.00 μB per cell; formation energy from the elements = -0.546 eV per atom; distance to the lowest polymorph of the same formula = 36 meV/atom; DFT total energy = -40.6 eV/cell; V = 17.61 Å³ per atom; DOS at the Fermi energy = 2.76 states/eV per cell
1.0
-4.6484 -3.7287 -4.8659
-1.9886 -4.8592 5.6233
-2.2429 1.8007 0.7628
Sr Pt Li
2 4 4
direct
0.0000 0.0000 0.0000
0.5000 0.5000 0.0000
0.1770 0.6770 0.5000
0.6770 0.8230 0.5000
0.8230 0.3230 0.5000
0.3230 0.1770 0.5000
0.3855 0.8855 0.0000
0.8855 0.6145 0.0000
0.6145 0.1145 0.0000
0.1145 0.3855 0.0000


No. 21
Sr2Li2Pt (PBE, optimized geometry); magnetic moment = 0.00 μB per cell; formation energy from the elements = -0.326 eV per atom; distance to the lowest polymorph of the same formula = 0 meV/atom; DFT total energy = -14.9 eV/cell; V = 27.00 Å³ per atom; DOS at the Fermi energy = 2.21 states/eV per cell
1.0
1.1783 1.5269 4.7150
4.2896 -2.4297 -0.2851
5.0847 3.9344 0.2072
Sr Li Pt
2 2 1
direct
0.6774 0.1774 0.6452
0.3226 0.8226 0.3548
0.2294 0.5000 0.0000
0.7706 0.5000 0.0000
0.0000 0.0000 0.0000


No. 22
SrLiPt2 (PBE, optimized geometry); magnetic moment = 0.00 μB per cell; formation energy from the elements = -0.486 eV per atom; distance to the lowest polymorph of the same formula = 102 meV/atom; DFT total energy = -17.6 eV/cell; V = 19.13 Å³ per atom; DOS at the Fermi energy = 1.39 states/eV per cell
1.0
-2.3385 -2.7157 1.2718
1.1349 0.3195 2.7688
-3.5314 4.9349 4.0440
Li Pt Sr
1 2 1
direct
0.5000 0.7500 0.7500
0.0000 0.0396 0.9540
0.0000 0.4604 0.5460
0.5000 0.2500 0.2500


No. 23
SrLiPt2 (PBE, optimized geometry); magnetic moment = 0.00 μB per cell; formation energy from the elements = -0.359 eV per atom; distance to the lowest polymorph of the same formula = 229 meV/atom; DFT total energy = -17.1 eV/cell; V = 19.99 Å³ per atom; DOS at the Fermi energy = 2.45 states/eV per cell
1.0
0.0000 3.4192 3.4192
3.4192 0.0000 3.4192
3.4192 3.4192 0.0000
Sr Pt Li
1 2 1
direct
0.5000 0.5000 0.5000
0.2500 0.2500 0.2500
0.7500 0.7500 0.7500
0.0000 0.0000 0.0000


No. 24
SrLi2Pt (PBE, optimized geometry); magnetic moment = 0.00 μB per cell; formation energy from the elements = -0.477 eV per atom; distance to the lowest polymorph of the same formula = 0 meV/atom; DFT total energy = -13.5 eV/cell; V = 22.72 Å³ per atom; DOS at the Fermi energy = 1.27 states/eV per cell
1.0
4.4447 -0.0074 0.0080
2.2245 3.8480 0.0080
2.2158 1.2760 5.3128
Sr Pt Li
1 1 2
direct
0.2423 0.2423 0.2742
0.4450 0.4450 0.6642
0.0521 0.0521 0.8441
0.7606 0.7606 0.7175


No. 25
Sr2LiPt2 (PBE, optimized geometry); magnetic moment = 0.00 μB per cell; formation energy from the elements = -0.413 eV per atom; distance to the lowest polymorph of the same formula = 333 meV/atom; DFT total energy = -38.9 eV/cell; V = 26.37 Å³ per atom; DOS at the Fermi energy = 3.13 states/eV per cell
1.0
8.5254 0.0000 0.0000
0.0000 8.5254 0.0000
0.0000 0.0000 3.6279
Sr Pt Li
4 4 2
direct
0.3554 0.8554 0.0000
0.8554 0.6446 0.0000
0.6446 0.1446 0.0000
0.1446 0.3554 0.0000
0.1544 0.6544 0.5000
0.6544 0.8456 0.5000
0.8456 0.3456 0.5000
0.3456 0.1544 0.5000
0.0000 0.0000 0.0000
0.5000 0.5000 0.0000


No. 26
SrLi2Pt (PBE, optimized geometry); magnetic moment = 0.00 μB per cell; formation energy from the elements = -0.383 eV per atom; distance to the lowest polymorph of the same formula = 93 meV/atom; DFT total energy = -13.1 eV/cell; V = 21.76 Å³ per atom; DOS at the Fermi energy = 1.45 states/eV per cell
1.0
5.6451 -0.0093 -0.0076
2.2778 5.1651 0.0076
-3.5252 -3.2482 2.9814
Li Pt Sr
2 1 1
direct
0.9565 0.9565 0.0000
0.5435 0.5435 0.0000
0.7500 0.2500 0.5000
0.2500 0.7500 0.5000